Material: CsInBi4
Method: DFT, PBE-GGA
State: relaxed

Computed properties:
Energy relative to the lowest polymorph listed for this composition: 0.384 eV per formula unit
ρ: 8.051 g cm⁻³
Energy of formation from the pure elements: -38.4 meV per atom
DOS(E_F): 6.701 states/eV/f.u.

Structure (CIF):
```
data_CsInBi4
_cell_length_a 9.6333
_cell_length_b 9.6333
_cell_length_c 9.6333
_cell_angle_alpha 90.00
_cell_angle_beta 90.00
_cell_angle_gamma 90.00
_symmetry_space_group_name_H-M 'F -4 3 m'
_symmetry_Int_Tables_number 216
_symmetry_space_group_name_Hall 'F -4 2 3'
loop_
_atom_site_label
_atom_site_type_symbol
_atom_site_fract_x
_atom_site_fract_y
_atom_site_fract_z
Cs1 Cs 0.0000 0.0000 0.0000
In1 In 0.2500 0.2500 0.7500
Bi1 Bi 0.1225 0.1225 0.3775
```

Material: LiTbEuIn
Method: DFT, PBE-GGA
State: relaxed

Computed properties:
ρ: 6.340 g cm⁻³
Energy of formation from the pure elements: -222.5 meV per atom
DOS(E_F): 9.709 states/eV/f.u.

Structure (CIF):
```
data_LiTbEuIn
_cell_length_a 7.6818
_cell_length_b 7.6818
_cell_length_c 7.6818
_cell_angle_alpha 90.00
_cell_angle_beta 90.00
_cell_angle_gamma 90.00
_symmetry_space_group_name_H-M 'F -4 3 m'
_symmetry_Int_Tables_number 216
_symmetry_space_group_name_Hall 'F -4 2 3'
loop_
_atom_site_label
_atom_site_type_symbol
_atom_site_fract_x
_atom_site_fract_y
_atom_site_fract_z
Li1 Li 0.0000 0.0000 0.0000
Tb1 Tb 0.2500 0.2500 0.7500
Eu1 Eu 0.2500 0.2500 0.2500
In1 In 0.0000 0.0000 0.5000
```